Entry 1:
TlAu2Se3: relaxed, GGA-PBE.

Properties
E = -38.79 eV for the cell shown
symmetry = No. 63
energy relative to the elements, uncorrected = -0.3 kJ/mol of atoms

Lattice parameters (Å, degrees): 6.929 6.929 7.472 90.00 90.00 118.23
Element x y z (fractional)
Tl 0.158 0.842 0.750
Tl 0.842 0.158 0.250
Au 0.280 0.280 0.000
Au 0.280 0.280 0.500
Au 0.720 0.720 0.000
Au 0.720 0.720 0.500
Se 0.049 0.315 0.750
Se 0.315 0.049 0.250
Se 0.388 0.612 0.250
Se 0.612 0.388 0.750
Se 0.685 0.951 0.750
Se 0.951 0.685 0.250

=====

Entry 2:
BeCd2Br: relaxed, GGA-PBE.

Properties
E = -12.69 eV for the cell shown
symmetry = No. 65
energy relative to the elements, uncorrected = 21.4 kJ/mol of atoms

Lattice parameters (Å, degrees): 3.564 6.092 8.288 90.00 90.00 90.00
Element x y z (fractional)
Be 0.000 0.000 0.000
Be 0.500 0.500 0.000
Cd 0.000 0.500 0.217
Cd 0.000 0.500 0.783
Cd 0.500 0.000 0.217
Cd 0.500 0.000 0.783
Br 0.000 0.000 0.500
Br 0.500 0.500 0.500

=====

Entry 3:
CdI3: relaxed, GGA-PBE.

Properties
E = -24.61 eV for the cell shown
symmetry = No. 122
energy relative to the elements, uncorrected = -14.1 kJ/mol of atoms

Lattice parameters (Å, degrees): 8.938 8.938 8.335 90.00 90.00 90.00
Element x y z (fractional)
Cd 0.000 0.000 0.000
Cd 0.000 0.500 0.250
Cd 0.500 0.000 0.750
Cd 0.500 0.500 0.500
I 0.000 0.000 0.500
I 0.000 0.500 0.750
I 0.166 0.250 0.125
I 0.250 0.666 0.375
I 0.250 0.834 0.875
I 0.334 0.250 0.625
I 0.500 0.000 0.250
I 0.500 0.500 0.000
I 0.666 0.750 0.625
I 0.750 0.166 0.875
I 0.750 0.334 0.375
I 0.834 0.750 0.125

=====

Entry 4:
KTc2Sb: relaxed, GGA-PBE.

Properties
E = -41.45 eV for the cell shown
symmetry = No. 65
energy relative to the elements, uncorrected = 126.1 kJ/mol of atoms

Lattice parameters (Å, degrees): 5.976 9.715 2.734 90.00 90.00 90.00
Element x y z (fractional)
K 0.000 0.000 0.000
K 0.500 0.500 0.000
Tc 0.250 0.250 0.500
Tc 0.250 0.750 0.500
Tc 0.750 0.250 0.500
Tc 0.750 0.750 0.500
Sb 0.000 0.500 0.000
Sb 0.500 0.000 0.000

=====

Entry 5:
Cr3GaTc2: relaxed, GGA-PBE.

Properties
E = -52.36 eV for the cell shown
symmetry = No. 166
energy of formation from the pure elements = 0.045 eV/atom

Lattice parameters (Å, degrees): 4.876 4.876 4.876 57.99 57.99 57.99
Element x y z (fractional)
Cr 0.000 0.500 0.500
Cr 0.500 0.000 0.500
Cr 0.500 0.500 0.000
Ga 0.500 0.500 0.500
Tc 0.119 0.119 0.119
Tc 0.881 0.881 0.881

=====

Entry 6:
Zr2RhW: relaxed, GGA-PBE.

Properties
E = -110.69 eV for the cell shown
symmetry = No. 160
energy of formation from the pure elements = 0.126 eV/atom

Lattice parameters (Å, degrees): 3.042 3.042 28.267 90.00 90.00 120.00
Element x y z (fractional)
Zr 0.000 0.000 0.000
Zr 0.000 0.000 0.241
Zr 0.333 0.667 0.667
Zr 0.333 0.667 0.907
Zr 0.667 0.333 0.333
Zr 0.667 0.333 0.574
Rh 0.000 0.000 0.491
Rh 0.333 0.667 0.158
Rh 0.667 0.333 0.824
W 0.000 0.000 0.753
W 0.333 0.667 0.420
W 0.667 0.333 0.087

=====

Entry 7:
AcCe5Bi6: relaxed, GGA-PBE.

Properties
E = -66.86 eV for the cell shown
symmetry = No. 12
energy of formation from the pure elements = -0.817 eV/atom

Lattice parameters (Å, degrees): 8.059 8.059 8.065 99.61 99.61 120.00
Element x y z (fractional)
Ac 0.000 0.000 0.000
Ce 0.163 0.837 0.500
Ce 0.332 0.668 0.000
Ce 0.500 0.500 0.500
Ce 0.668 0.332 0.000
Ce 0.837 0.163 0.500
Bi 0.086 0.429 0.257
Bi 0.259 0.259 0.746
Bi 0.429 0.086 0.257
Bi 0.571 0.914 0.743
Bi 0.741 0.741 0.254
Bi 0.914 0.571 0.743

=====

Entry 8:
YIn2Cu: relaxed, GGA-PBE.

Properties
E = -17.06 eV for the cell shown
symmetry = No. 123
energy of formation from the pure elements = -0.256 eV/atom

Lattice parameters (Å, degrees): 4.453 4.453 4.483 90.00 90.00 90.00
Element x y z (fractional)
Y 0.000 0.000 0.000
In 0.000 0.500 0.500
In 0.500 0.000 0.500
Cu 0.500 0.500 0.000

=====

Entry 9:
V3SiRu6: relaxed, GGA-PBE.

Properties
E = -183.14 eV for the cell shown
symmetry = No. 11
energy relative to the elements, uncorrected = -30.3 kJ/mol of atoms

Lattice parameters (Å, degrees): 7.273 4.294 9.228 90.00 109.51 90.00
Element x y z (fractional)
V 0.029 0.250 0.382
V 0.126 0.750 0.204
V 0.286 0.250 0.991
V 0.714 0.750 0.009
V 0.874 0.250 0.796
V 0.971 0.750 0.618
Si 0.452 0.250 0.586
Si 0.548 0.750 0.414
Ru 0.046 0.750 0.914
Ru 0.170 0.250 0.677
Ru 0.252 0.750 0.497
Ru 0.346 0.250 0.306
Ru 0.353 0.750 0.830
Ru 0.432 0.750 0.136
Ru 0.568 0.250 0.864
Ru 0.647 0.250 0.170
Ru 0.654 0.750 0.694
Ru 0.748 0.250 0.503
Ru 0.830 0.750 0.323
Ru 0.954 0.250 0.086

=====

Entry 10:
DyZr2Mn: relaxed, GGA-PBE.

Properties
E = -88.25 eV for the cell shown
symmetry = No. 166
energy of formation from the pure elements = 0.363 eV/atom

Lattice parameters (Å, degrees): 3.231 3.231 30.311 90.00 90.00 120.00
Element x y z (fractional)
Dy 0.000 0.000 0.000
Dy 0.333 0.667 0.667
Dy 0.667 0.333 0.333
Zr 0.000 0.000 0.106
Zr 0.000 0.000 0.894
Zr 0.333 0.667 0.561
Zr 0.333 0.667 0.772
Zr 0.667 0.333 0.228
Zr 0.667 0.333 0.439
Mn 0.000 0.000 0.500
Mn 0.333 0.667 0.167
Mn 0.667 0.333 0.833

=====

Entry 11:
CaBrCl: relaxed, GGA-PBE.

Properties
E = -24.33 eV for the cell shown
symmetry = No. 11
energy relative to the elements, uncorrected = -213.7 kJ/mol of atoms

Lattice parameters (Å, degrees): 6.741 4.218 7.297 90.00 91.76 90.00
Element x y z (fractional)
Ca 0.002 0.250 0.245
Ca 0.998 0.750 0.755
Br 0.235 0.250 0.590
Br 0.765 0.750 0.410
Cl 0.204 0.750 0.090
Cl 0.796 0.250 0.910

=====

Entry 12:
Nb2Pt9Au: relaxed, GGA-PBE.

Properties
E = -83.51 eV for the cell shown
symmetry = No. 123
energy of formation from the pure elements = -0.477 eV/atom

Lattice parameters (Å, degrees): 4.010 4.010 12.021 90.00 90.00 90.00
Element x y z (fractional)
Nb 0.000 0.000 0.173
Nb 0.000 0.000 0.827
Pt 0.000 0.500 0.000
Pt 0.000 0.500 0.325
Pt 0.000 0.500 0.675
Pt 0.500 0.000 0.000
Pt 0.500 0.000 0.325
Pt 0.500 0.000 0.675
Pt 0.500 0.500 0.162
Pt 0.500 0.500 0.500
Pt 0.500 0.500 0.838
Au 0.000 0.000 0.500

=====

| no. | D(E_F) (states/eV per cell) |
| --- | --- |
| 1 | 5.6 |
| 2 | 1.8 |
| 3 | 16.1 |
| 4 | 10.9 |
| 5 | 6.4 |
| 6 | 17.7 |
| 7 | 32.6 |
| 8 | 2.8 |
| 9 | 14.0 |
| 10 | 17.1 |
| 11 | 0.0 |
| 12 | 2.6 |